First-principles (PBE) data for a relaxed structure of Fe5C3, as listed in Alexandria.

Properties
For the energy above the lowest structure with this stoichiometry, the calculation gives 0.2187 eV/atom. Its calculated total energy is -8.1764 eV/atom. The density of states at the Fermi level comes out at 7.02 states/eV per cell. Its density is 7.3 g/cm³. Its spin magnetization is 0.700 μB per atom.

Unit cell a=5.0773 b=5.0773 c=2.9342 alpha=90.00 beta=90.00 gamma=108.58
With the nearest neighbours (Å) after each atom.
Element x y z (fractional)
Fe 0.0000 0.0000 0.0000  4 C 1.98
Fe 0.0000 0.5000 0.0000  4 C 2.21
Fe 0.3083 0.3083 0.5000  2 C 1.86
Fe 0.5000 0.0000 0.0000  4 C 2.21
Fe 0.6917 0.6917 0.5000  2 C 1.86
C 0.1611 0.8389 0.5000  6 Fe 1.98-2.21
C 0.5000 0.5000 0.0000  4 Fe 1.86
C 0.8389 0.1611 0.5000  6 Fe 1.98-2.21


First-principles (PBE) data for a relaxed structure of Fe3C4, as listed in Alexandria.

Properties
For the energy above the lowest structure with this stoichiometry, the calculation gives 0.1352 eV/atom. Its calculated total energy is -7.9392 eV/atom. The density of states at the Fermi level comes out at 4.65 states/eV per cell. Its density is 6.4 g/cm³. Its spin magnetization is 0.466 μB per atom.

Unit cell a=7.1134 b=7.1134 c=7.1134 alpha=156.79 beta=156.79 gamma=33.05
With the nearest neighbours (Å) after each atom.
Element x y z (fractional)
Fe 0.0000 0.0000 0.0000  10 C 2.13-2.20
Fe 0.3112 0.3112 0.0000  6 C 1.91-2.06
Fe 0.6888 0.6888 0.0000  6 C 1.91-2.06
C 0.1612 0.1612 0.0000  6 Fe 2.05-2.20
C 0.4509 0.4509 0.0000  1 C 1.34
C 0.5491 0.5491 0.0000  1 C 1.34
C 0.8388 0.8388 0.0000  6 Fe 2.05-2.20


First-principles (PBE) data for a relaxed structure of FeC2, as listed in Alexandria.

Properties
For the energy above the lowest structure with this stoichiometry, the calculation gives 0.1323 eV/atom. Its calculated total energy is -8.3196 eV/atom. The density of states at the Fermi level comes out at 1.15 states/eV per cell. Its density is 5.7 g/cm³. Its spin magnetization is 0.056 μB per atom.

Unit cell a=4.1667 b=4.1667 c=4.1667 alpha=36.99 beta=36.99 gamma=36.99
With the nearest neighbours (Å) after each atom.
Element x y z (fractional)
Fe 0.0000 0.0000 0.0000  6 C 1.97
C 0.4405 0.4405 0.4405  1 C 1.38
C 0.5595 0.5595 0.5595  1 C 1.38


First-principles (PBE) data for a relaxed structure of FeC2, as listed in Alexandria.

Properties
For the energy above the lowest structure with this stoichiometry, the calculation gives 0.2962 eV/atom. Its calculated total energy is -8.1557 eV/atom. The density of states at the Fermi level comes out at 0.62 states/eV per cell. Its density is 5.5 g/cm³. Its spin magnetization is 0.000 μB per atom.

Unit cell a=2.4784 b=3.9912 c=3.9912 alpha=38.00 beta=90.00 gamma=90.00
With the nearest neighbours (Å) after each atom.
Element x y z (fractional)
Fe 0.0000 0.0000 0.0000  6 C 1.89-2.04
C 0.5000 0.6279 0.6279  1 C 1.38
C 0.5000 0.8111 0.8111  1 C 1.38